Here is an optimized crystal structure of Cu2Pd7Pt3 from Alexandria via LeMat-Bulk. Energies are from PBE-GGA.

Calculated values
Formation energy in eV/atom: 0.01
Space group: No. 10
Magnetic moment in μB per atom: 0.000

Lattice parameters (Å, degrees): 2.7176 5.0049 13.8826 74.92 90.00 90.00
Last column: nearest neighbours and their distance in Å.
Element x y z (fractional)
Cu 0.5000 0.6303 0.3279  5 Pd 2.62-2.68, 2 Cu 2.72, 4 Pt 2.85
Cu 0.5000 0.3697 0.6721  5 Pd 2.62-2.68, 2 Cu 2.72, 4 Pt 2.85
Pd 0.5000 0.7488 0.5018  4 Pd 2.50-2.72, 2 Cu 2.62-2.63
Pd 0.5000 0.2512 0.4982  4 Pd 2.50-2.72, 2 Cu 2.62-2.63
Pd 0.0000 0.5569 0.1705  2 Cu 2.68, 7 Pd 2.72-2.85, 3 Pt 2.75-2.81
Pd 0.0000 0.0000 0.0000  8 Pd 2.72-2.82, 4 Pt 2.85
Pd 0.0000 0.4431 0.8295  2 Cu 2.68, 7 Pd 2.72-2.85, 3 Pt 2.75-2.81
Pd 0.5000 0.9429 0.8284  1 Cu 2.62, 8 Pd 2.72-2.85, 3 Pt 2.79-2.80
Pd 0.5000 0.0571 0.1716  1 Cu 2.62, 8 Pd 2.72-2.85, 3 Pt 2.79-2.80
Pt 0.5000 0.5000 0.0000  2 Pt 2.72, 10 Pd 2.80-2.85
Pt 0.0000 0.1222 0.3392  2 Pt 2.72, 7 Pd 2.75-2.87, 4 Cu 2.85
Pt 0.0000 0.8778 0.6608  2 Pt 2.72, 7 Pd 2.75-2.87, 4 Cu 2.85